The following is a PBE calculation of a relaxed TiAsPd3 crystal, from the Alexandria database.

The structure belongs to space group C2/c (No. 15); the cell edges are 9.394, 11.800 and 5.946 Å and the angles 90.00°, 92.61° and 90.00°. Symmetry generates all atoms from Ti at (0.134, 0.204, 0.109), As at (0.000, 0.126, 0.750), As at (0.000, 0.388, 0.250), Pd at (0.126, 0.051, 0.403), Pd at (0.129, 0.289, 0.584) and Pd at (0.138, 0.440, 0.925).

The value obtained for the calculated density is 8.92 g cm⁻³. The electronic total energy comes out at -241.0 eV per cell. The crystal system is monoclinic.

=====

The following is a PBE calculation of a relaxed NdHoFeCu crystal, from the Alexandria database.

The structure belongs to space group F-43m (No. 216); the cell edges are 6.942, 6.942 and 6.942 Å and the angles 90.00°, 90.00° and 90.00°. Symmetry generates all atoms from Nd at (0.000, 0.000, 0.000), Ho at (0.000, 0.000, 0.500), Fe at (0.250, 0.250, 0.250) and Cu at (0.250, 0.250, 0.750).

The value obtained for the calculated density is 8.51 g cm⁻³. The electronic total energy comes out at -86.9 eV per cell. The crystal system is cubic.

=====

The following is a PBE calculation of a relaxed PrCdSnHg crystal, from the Alexandria database.

The structure belongs to space group Pmmm (No. 47); the cell edges are 4.534, 4.659 and 4.928 Å and the angles 90.00°, 90.00° and 90.00°. Symmetry generates all atoms from Pr at (0.000, 0.000, 0.000), Cd at (0.000, 0.500, 0.500), Sn at (0.500, 0.500, 0.000) and Hg at (0.500, 0.000, 0.500).

The value obtained for the calculated density is 9.13 g cm⁻³. The electronic total energy comes out at -11.8 eV per cell. The crystal system is orthorhombic.

=====

The following is a PBE calculation of a relaxed Y3TePb crystal, from the Alexandria database.

The structure belongs to space group Pm-3m (No. 221); the cell edges are 5.631, 5.631 and 5.631 Å and the angles 90.00°, 90.00° and 90.00°. Symmetry generates all atoms from Y at (0.000, 0.000, 0.500), Te at (0.000, 0.000, 0.000) and Pb at (0.500, 0.500, 0.500).

The value obtained for the calculated density is 5.59 g cm⁻³. The electronic total energy comes out at -27.2 eV per cell. The crystal system is cubic. The raw formation energy is -199 meV/atom.

=====

The following is a PBE calculation of a relaxed UPO6F crystal, from the Alexandria database.

The structure belongs to space group P1 (No. 1); the cell edges are 5.275, 5.331 and 5.409 Å and the angles 78.51°, 70.82° and 62.44°. Symmetry generates all atoms from U at (0.000, 0.000, 0.000), P at (0.633, 0.716, 0.005), O at (0.312, 0.940, 0.194), O at (0.432, 0.709, 0.824), O at (0.604, 0.395, 0.217), O at (0.744, 0.948, 0.803), O at (0.825, 0.725, 0.207), O at (0.931, 0.417, 0.872) and F at (0.349, 0.409, 0.439).

The value obtained for the calculated density is 5.01 g cm⁻³. The electronic total energy comes out at -64.9 eV per cell. The crystal system is triclinic. The raw formation energy is -1839 meV/atom.

=====

Number 4 is which compound?
Y3TePb

=====

Which value of electronic total energy does entry 1 give?
-241.0 eV per cell